Cr2PW GGA-PBE relaxed; uncorrected energy = -8.92 eV per atom; N(E_F) = 5.70 states/eV/f.u.; E_form = 483 meV/atom; space group = I-42d
1.0
-0.735 4.487 5.133
4.372 -3.651 3.818
3.665 1.718 3.603
P Cr W
2 4 2
direct
0.500 0.500 0.000 P
0.250 0.750 0.500 P
0.552 0.125 0.250 Cr
0.375 0.448 0.750 Cr
0.198 0.625 0.250 Cr
0.875 0.802 0.750 Cr
0.000 0.000 0.000 W
0.750 0.250 0.500 W